The following is a GGA-PBE calculation of a relaxed structure of OsN, from the Alexandria database.

extended XYZ file:
```
4
Lattice="2.752 0.000 0.000 0.000 2.743 0.000 0.000 0.000 6.650" Properties=species:S:1:pos:R:3 pbc="T T T"
Os 1.376 0.000 5.310
Os 1.376 1.371 1.985
N 1.376 0.000 0.611
N 1.376 1.371 3.936
```

- Theoretical density: 13.51 Mg/m³
- Space-group type: Amm2 (38)
- M_tot: 0.00 μB per atom
- Formation energy from raw total energies: 0.743 eV per atom



The following is a GGA-PBE calculation of a relaxed structure of OsN, from the Alexandria database.

extended XYZ file:
```
2
Lattice="2.723 0.000 0.000 0.000 2.723 0.000 0.000 0.000 3.710" Properties=species:S:1:pos:R:3 pbc="T T T"
Os 0.000 0.000 0.975
N 0.000 0.000 2.897
```

- Theoretical density: 12.32 Mg/m³
- Space-group type: P4mm (99)
- M_tot: 0.00 μB per atom
- Formation energy from raw total energies: 0.886 eV per atom



The following is a GGA-PBE calculation of a relaxed structure of OsN, from the Alexandria database.

extended XYZ file:
```
4
Lattice="2.778 0.000 0.000 0.000 3.731 0.000 0.000 0.000 4.270" Properties=species:S:1:pos:R:3 pbc="T T T"
Os 1.389 0.511 1.684
Os 0.000 3.220 3.819
N 1.389 2.427 0.835
N 0.000 1.304 2.970
```

- Theoretical density: 15.33 Mg/m³
- Space-group type: Pmn2_1 (31)
- M_tot: 0.00 μB per atom
- Formation energy from raw total energies: 0.414 eV per atom



The following is a GGA-PBE calculation of a relaxed structure of OsN2, from the Alexandria database.

extended XYZ file:
```
6
Lattice="-0.260 1.666 2.117 2.920 -2.124 2.030 3.480 2.964 -1.904" Properties=species:S:1:pos:R:3 pbc="T T T"
Os 3.070 1.252 1.121
Os 0.000 0.000 0.000
N 4.107 2.719 0.095
N 2.034 -0.214 2.148
N 1.776 0.928 -0.512
N 4.625 -0.089 0.638
```

- Theoretical density: 13.06 Mg/m³
- Space-group type: Pnnm (58)
- M_tot: 0.00 μB per atom
- Formation energy from raw total energies: 0.525 eV per atom



The following is a GGA-PBE calculation of a relaxed structure of OsN, from the Alexandria database.

extended XYZ file:
```
4
Lattice="2.887 0.000 0.000 0.000 2.887 0.000 0.000 0.000 5.558" Properties=species:S:1:pos:R:3 pbc="T T T"
Os 0.000 0.000 2.779
Os 1.444 1.444 0.000
N 0.000 1.444 4.169
N 1.444 0.000 1.390
```

- Theoretical density: 14.64 Mg/m³
- Space-group type: I-4m2 (119)
- M_tot: 0.00 μB per atom
- Formation energy from raw total energies: 0.595 eV per atom



The following is a GGA-PBE calculation of a relaxed structure of OsN2, from the Alexandria database.

extended XYZ file:
```
3
Lattice="3.215 0.006 0.000 -2.043 2.483 0.000 0.000 0.000 3.674" Properties=species:S:1:pos:R:3 pbc="T T T"
Os -0.391 1.705 1.837
N -1.993 2.459 2.989
N -1.993 2.459 0.685
```

- Theoretical density: 12.33 Mg/m³
- Space-group type: Amm2 (38)
- M_tot: 0.00 μB per atom
- Formation energy from raw total energies: 0.882 eV per atom



Question: What is the M_tot in the second record?
Answer: 0.00 μB per atom